# AcCeSnBr

A geometry-optimized AcCeSnBr structure (GGA-PBE, Alexandria via LeMat-Bulk).

The value obtained for the electronic total energy is -19.1 eV per cell.

Structure (CIF):
```
data_AcCeSnBr
_space_group_name_H-M_alt 'P 1'
_space_group_IT_number 1
_space_group_name_Hall 'P 1'
_cell_length_a 5.585
_cell_length_b 5.585
_cell_length_c 5.585
_cell_angle_alpha 60.00
_cell_angle_beta 60.00
_cell_angle_gamma 60.00
loop_
_atom_site_label
_atom_site_fract_x
_atom_site_fract_y
_atom_site_fract_z
Ac1 0.500 0.500 0.500
Br1 0.750 0.750 0.750
Sn1 0.250 0.250 0.250
Ce1 0.000 0.000 0.000
```

=====

# AcCeTeBr

A geometry-optimized AcCeTeBr structure (GGA-PBE, Alexandria via LeMat-Bulk).

The value obtained for the electronic total energy is -19.4 eV per cell.

Structure (CIF):
```
data_AcCeTeBr
_space_group_name_H-M_alt 'P 1'
_space_group_IT_number 1
_space_group_name_Hall 'P 1'
_cell_length_a 5.534
_cell_length_b 5.534
_cell_length_c 5.534
_cell_angle_alpha 60.00
_cell_angle_beta 60.00
_cell_angle_gamma 60.00
loop_
_atom_site_label
_atom_site_fract_x
_atom_site_fract_y
_atom_site_fract_z
Te1 0.250 0.250 0.250
Br1 0.750 0.750 0.750
Ac1 0.000 0.000 0.000
Ce1 0.500 0.500 0.500
```

=====

# AcBr2Cl

A geometry-optimized AcBr2Cl structure (GGA-PBE, Alexandria via LeMat-Bulk).

For the energy above the lowest structure with this stoichiometry, the calculation gives 0.00 eV per formula unit.

Structure (CIF):
```
data_AcBr2Cl
_space_group_name_H-M_alt 'P 1'
_space_group_IT_number 1
_space_group_name_Hall 'P 1'
_cell_length_a 4.397
_cell_length_b 7.323
_cell_length_c 9.478
_cell_angle_alpha 90.00
_cell_angle_beta 90.00
_cell_angle_gamma 107.45
loop_
_atom_site_label
_atom_site_fract_x
_atom_site_fract_y
_atom_site_fract_z
Cl1 0.607 0.214 0.750
Cl2 0.393 0.786 0.250
Br1 0.851 0.703 0.936
Br2 0.149 0.297 0.064
Br3 0.851 0.703 0.564
Br4 0.149 0.297 0.436
Ac1 0.758 0.517 0.250
Ac2 0.242 0.483 0.750
```

=====

# AcBrCl

A geometry-optimized AcBrCl structure (GGA-PBE, Alexandria via LeMat-Bulk).

For the energy above the lowest structure with this stoichiometry, the calculation gives 0.39 eV per formula unit.

Structure (CIF):
```
data_AcBrCl
_space_group_name_H-M_alt 'P 1'
_space_group_IT_number 1
_space_group_name_Hall 'P 1'
_cell_length_a 5.183
_cell_length_b 5.183
_cell_length_c 5.183
_cell_angle_alpha 60.00
_cell_angle_beta 60.00
_cell_angle_gamma 60.00
loop_
_atom_site_label
_atom_site_fract_x
_atom_site_fract_y
_atom_site_fract_z
Br1 0.000 0.000 0.000
Ac1 0.250 0.250 0.250
Cl1 0.500 0.500 0.500
```

=====

# Ac2Br4Cl

A geometry-optimized Ac2Br4Cl structure (GGA-PBE, Alexandria via LeMat-Bulk).

The value obtained for the electronic total energy is -29.8 eV per cell.

Structure (CIF):
```
data_Ac2Br4Cl
_space_group_name_H-M_alt 'P 1'
_space_group_IT_number 1
_space_group_name_Hall 'P 1'
_cell_length_a 5.315
_cell_length_b 5.315
_cell_length_c 10.742
_cell_angle_alpha 75.68
_cell_angle_beta 75.68
_cell_angle_gamma 60.00
loop_
_atom_site_label
_atom_site_fract_x
_atom_site_fract_y
_atom_site_fract_z
Br1 0.300 0.300 0.099
Br2 0.101 0.101 0.697
Br3 0.899 0.899 0.303
Br4 0.700 0.700 0.901
Cl1 0.500 0.500 0.500
Ac1 0.592 0.592 0.223
Ac2 0.408 0.408 0.777
```

=====

# AcBrCl

A geometry-optimized AcBrCl structure (GGA-PBE, Alexandria via LeMat-Bulk).

For the energy above the lowest structure with this stoichiometry, the calculation gives 0.00 eV per formula unit.

Structure (CIF):
```
data_AcBrCl
_space_group_name_H-M_alt 'P 1'
_space_group_IT_number 1
_space_group_name_Hall 'P 1'
_cell_length_a 4.074
_cell_length_b 5.144
_cell_length_c 5.144
_cell_angle_alpha 120.00
_cell_angle_beta 90.00
_cell_angle_gamma 90.00
loop_
_atom_site_label
_atom_site_fract_x
_atom_site_fract_y
_atom_site_fract_z
Cl1 0.110 0.000 0.000
Br1 0.605 0.333 0.667
Ac1 0.285 0.667 0.333
```

=====

# AcBr2Cl

A geometry-optimized AcBr2Cl structure (GGA-PBE, Alexandria via LeMat-Bulk).

For the energy above the lowest structure with this stoichiometry, the calculation gives 1.25 eV per formula unit.

Structure (CIF):
```
data_AcBr2Cl
_space_group_name_H-M_alt 'P 1'
_space_group_IT_number 1
_space_group_name_Hall 'P 1'
_cell_length_a 5.374
_cell_length_b 5.374
_cell_length_c 5.373
_cell_angle_alpha 60.00
_cell_angle_beta 60.00
_cell_angle_gamma 60.00
loop_
_atom_site_label
_atom_site_fract_x
_atom_site_fract_y
_atom_site_fract_z
Cl1 0.000 0.000 0.000
Br1 0.750 0.750 0.750
Br2 0.250 0.250 0.250
Ac1 0.500 0.500 0.500
```

=====

# AcBrCl2

A geometry-optimized AcBrCl2 structure (GGA-PBE, Alexandria via LeMat-Bulk).

The value obtained for the electronic total energy is -37.5 eV per cell.

Structure (CIF):
```
data_AcBrCl2
_space_group_name_H-M_alt 'P 1'
_space_group_IT_number 1
_space_group_name_Hall 'P 1'
_cell_length_a 4.603
_cell_length_b 6.102
_cell_length_c 8.991
_cell_angle_alpha 90.00
_cell_angle_beta 90.00
_cell_angle_gamma 112.16
loop_
_atom_site_label
_atom_site_fract_x
_atom_site_fract_y
_atom_site_fract_z
Cl1 0.349 0.698 0.562
Cl2 0.651 0.302 0.438
Cl3 0.349 0.698 0.938
Cl4 0.651 0.302 0.062
Br1 0.939 0.879 0.250
Br2 0.061 0.121 0.750
Ac1 0.240 0.480 0.250
Ac2 0.760 0.520 0.750
```

=====

# AcBr2Cl

A geometry-optimized AcBr2Cl structure (GGA-PBE, Alexandria via LeMat-Bulk).

For the energy above the lowest structure with this stoichiometry, the calculation gives 1.00 eV per formula unit.

Structure (CIF):
```
data_AcBr2Cl
_space_group_name_H-M_alt 'P 1'
_space_group_IT_number 1
_space_group_name_Hall 'P 1'
_cell_length_a 7.025
_cell_length_b 7.025
_cell_length_c 6.916
_cell_angle_alpha 119.31
_cell_angle_beta 119.31
_cell_angle_gamma 92.08
loop_
_atom_site_label
_atom_site_fract_x
_atom_site_fract_y
_atom_site_fract_z
Ac1 0.236 0.236 0.473
Ac2 0.764 0.764 0.527
Br1 0.750 0.250 0.500
Br2 0.322 0.322 0.000
Br3 0.250 0.750 0.500
Br4 0.678 0.678 0.000
Cl1 0.169 0.831 0.000
Cl2 0.831 0.169 0.000
```

=====

# Ac4CoBrCl2

A geometry-optimized Ac4CoBrCl2 structure (GGA-PBE, Alexandria via LeMat-Bulk).

The value obtained for the electronic total energy is -37.2 eV per cell.

Structure (CIF):
```
data_Ac4CoBrCl2
_space_group_name_H-M_alt 'P 1'
_space_group_IT_number 1
_space_group_name_Hall 'P 1'
_cell_length_a 4.210
_cell_length_b 8.378
_cell_length_c 7.662
_cell_angle_alpha 108.16
_cell_angle_beta 90.00
_cell_angle_gamma 90.00
loop_
_atom_site_label
_atom_site_fract_x
_atom_site_fract_y
_atom_site_fract_z
Co1 0.500 0.500 0.000
Br1 0.000 0.000 0.000
Cl1 0.500 0.000 0.500
Cl2 0.000 0.500 0.500
Ac1 0.000 0.703 0.213
Ac2 0.500 0.713 0.754
Ac3 0.000 0.297 0.787
Ac4 0.500 0.287 0.246
```

=====

# Ac6Co2Br3Cl

A geometry-optimized Ac6Co2Br3Cl structure (GGA-PBE, Alexandria via LeMat-Bulk).

The value obtained for the electronic total energy is -57.3 eV per cell.

Structure (CIF):
```
data_Ac6Co2Br3Cl
_space_group_name_H-M_alt 'P 1'
_space_group_IT_number 1
_space_group_name_Hall 'P 1'
_cell_length_a 7.574
_cell_length_b 7.574
_cell_length_c 8.509
_cell_angle_alpha 98.52
_cell_angle_beta 98.52
_cell_angle_gamma 119.94
loop_
_atom_site_label
_atom_site_fract_x
_atom_site_fract_y
_atom_site_fract_z
Br1 0.162 0.838 0.500
Br2 0.500 0.500 0.500
Br3 0.838 0.162 0.500
Ac1 0.934 0.568 0.804
Ac2 0.066 0.432 0.196
Ac3 0.301 0.301 0.805
Ac4 0.432 0.066 0.196
Ac5 0.699 0.699 0.195
Ac6 0.568 0.934 0.804
Co1 0.667 0.333 0.000
Co2 0.333 0.667 0.000
Cl1 0.000 0.000 0.000
```

=====

no.,calculated volume (Å³ per atom),DOS at the Fermi energy (states/eV/cell)
1,30.79,8.70
2,29.95,9.70
3,36.39,0.00
4,32.83,2.20
5,35.98,4.75
6,31.12,0.80
7,27.43,0.00
8,29.24,0.00
9,30.23,0.00
10,32.10,5.45
11,33.67,8.95